A plane-wave DFT calculation with GGA-PBEsol was carried out for crystalline RbLi3Y at its relaxed geometry.

The value obtained for the total energy is -9.9 eV per cell. As for the formation energy: 0.77 eV per atom.

Cell: 6.086 6.086 6.086 Å, 90.00 90.00 90.00°
Space group Pm-3m (No. 221)
Symmetry-distinct sites (fractional):
Rb 0.000 0.000 0.000 [1 per cell]
Li 0.000 0.500 0.500 [3 per cell]
Y 0.500 0.500 0.500 [1 per cell]

A plane-wave DFT calculation with GGA-PBEsol was carried out for crystalline Rb2LiY2 at its relaxed geometry.

The value obtained for the total energy is -29.7 eV per cell. As for the formation energy: 0.56 eV per atom.

Cell: 4.463 4.463 25.335 Å, 90.00 90.00 90.00°
Space group I4/mmm (No. 139)
Symmetry-distinct sites (fractional):
Rb 0.000 0.000 0.106 [4 per cell]
Li 0.000 0.000 0.500 [2 per cell]
Y 0.000 0.500 0.250 [4 per cell]

A plane-wave DFT calculation with GGA-PBEsol was carried out for crystalline RbLi2Zn at its relaxed geometry.

The value obtained for the total energy is -21.9 eV per cell. As for the formation energy: 0.26 eV per atom.

Cell: 5.555 5.555 18.272 Å, 90.00 90.00 90.00°
Space group I4_1/amd (No. 141, origin choice 2)
Symmetry-distinct sites (fractional):
Rb 0.000 0.250 0.375 [4 per cell]
Li 0.000 0.000 0.000 [8 per cell]
Zn 0.000 0.250 0.875 [4 per cell]